Entry 1:
4
Lattice="1.933 1.116 6.866 -1.933 1.116 6.866 0.000 -2.232 6.866" Properties=species:S:1:pos:R:3 comment="GGA-PBE HoScSe2, relaxed" vol_a3_per_atom=22.21 raw_formation_energy_kj_per_mol_fu=-644 relative_energy_mev_per_atom=0 n_ef_per_ev_fu=1.2 pbc="T T T"
Ho 0.000 0.000 0.000
Sc 0.000 0.000 3.628
Se 0.000 0.000 11.974
Se 0.000 0.000 15.643

***

Entry 2:
8
Lattice="6.920 0.000 0.000 0.000 3.957 0.000 -2.269 0.000 6.595" Properties=species:S:1:pos:R:3 comment="GGA-PBE SmHoSc2Se4, relaxed" vol_a3_per_atom=22.57 raw_formation_energy_kj_per_mol_fu=-1289 n_ef_per_ev_fu=5.1 pbc="T T T"
Sm 0.000 0.000 0.000
Ho 3.460 1.978 0.000
Sc -1.134 1.978 3.297
Sc 2.326 0.000 3.297
Se 0.062 0.000 4.835
Se 1.198 1.978 1.785
Se 3.454 1.978 4.810
Se 4.590 0.000 1.760